<P>
A relaxed LiVF5 crystal, computed with PBE+U.

Summary:
Magnetic moment, μB per atom: 0.143

Lattice parameters (Å, degrees): 10.3487 5.7803 6.7807 88.62 90.00 90.00
Closest atoms and distances in Å follow each position.
Fractional positions:
V 0.0742 0.9655 0.6295  6 F 1.82-2.02
V 0.7513 0.5428 0.1504  4 F 1.76-1.92
V 0.2513 0.4572 0.8496  4 F 1.76-1.92
V 0.5742 0.0345 0.3705  6 F 1.82-2.02
Li 0.9175 0.4605 0.7618  4 F 1.90-1.97
Li 0.1950 0.9521 0.1144  4 F 1.90-1.94
Li 0.4175 0.5395 0.2382  4 F 1.90-1.97
Li 0.6950 0.0479 0.8856  4 F 1.90-1.94
F 0.7059 0.7789 0.3447  2 V 1.98-2.02
F 0.2861 0.2246 0.0385  1 V 1.87, 1 Li 1.90
F 0.2868 0.6714 0.0557  1 V 1.92, 2 Li 1.93-1.97
F 0.9475 0.1908 0.6125  1 V 1.85, 1 Li 1.90
F 0.1154 0.9701 0.3686  1 V 1.82, 1 Li 1.91
F 0.9509 0.7368 0.6139  1 V 1.84, 1 Li 1.90
F 0.6154 0.0299 0.6314  1 V 1.82, 1 Li 1.91
F 0.7861 0.7754 0.9615  1 V 1.87, 1 Li 1.90
F 0.7868 0.3286 0.9443  1 V 1.92, 2 Li 1.93-1.97
F 0.4475 0.8092 0.3875  1 V 1.85, 1 Li 1.90
F 0.7089 0.2808 0.3377  2 V 2.00
F 0.5787 0.5386 0.0876  1 V 1.84, 1 Li 1.96
F 0.0706 0.9622 0.8994  1 V 1.83, 1 Li 1.94
F 0.9099 0.5288 0.2447  1 V 1.76
F 0.2089 0.7192 0.6623  2 V 2.00
F 0.5706 0.0378 0.1006  1 V 1.83, 1 Li 1.94
F 0.4099 0.4712 0.7553  1 V 1.76
F 0.2059 0.2211 0.6553  2 V 1.98-2.02
F 0.0787 0.4614 0.9124  1 V 1.84, 1 Li 1.96
F 0.4509 0.2632 0.3861  1 V 1.84, 1 Li 1.90

=====

<Q>
A relaxed LiVF5 crystal, computed with PBE+U.

Summary:
Magnetic moment, μB per atom: 0.143

Lattice parameters (Å, degrees): 6.1420 6.4074 8.9262 90.00 90.00 90.00
Closest atoms and distances in Å follow each position.
Fractional positions:
V 0.0771 0.0060 0.0002  5 F 1.84-2.00
V 0.5771 0.5060 0.4998  5 F 1.84-2.00
V 0.4229 0.0060 0.5002  5 F 1.84-2.00
V 0.9229 0.5060 0.9998  5 F 1.84-2.00
F 0.6774 0.8146 0.5272  2 V 2.00-2.09, 1 Li 2.22
F 0.3770 0.0061 0.0003  1 V 1.84
F 0.8770 0.5061 0.4997  1 V 1.84
F 0.6772 0.1975 0.4736  2 V 2.00-2.08
F 0.0435 0.0497 0.2042  1 V 1.85, 1 Li 1.98
F 0.6230 0.5061 0.9997  1 V 1.84
F 0.9565 0.5497 0.7958  1 V 1.85, 1 Li 1.98
F 0.1772 0.6975 0.0264  2 V 2.00-2.08
F 0.0429 0.9628 0.7963  1 V 1.85, 1 Li 1.98
F 0.3226 0.3146 0.4728  2 V 2.00-2.09, 1 Li 2.22
F 0.1230 0.0061 0.5003  1 V 1.84
F 0.1774 0.3146 0.9728  2 V 2.00-2.09, 1 Li 2.22
F 0.4571 0.9628 0.2963  1 V 1.85, 1 Li 1.98
F 0.5429 0.4628 0.7037  1 V 1.85, 1 Li 1.98
F 0.8226 0.8146 0.0272  2 V 2.00-2.09, 1 Li 2.22
F 0.4565 0.0497 0.7042  1 V 1.85, 1 Li 1.98
F 0.8228 0.1975 0.9736  2 V 2.00-2.08
F 0.5435 0.5497 0.2958  1 V 1.85, 1 Li 1.98
F 0.3228 0.6975 0.5264  2 V 2.00-2.08
F 0.9571 0.4628 0.2037  1 V 1.85, 1 Li 1.98
Li 0.0016 0.2571 0.3658  4 F 1.98-2.14
Li 0.4984 0.2571 0.8658  4 F 1.98-2.14
Li 0.9984 0.7571 0.6342  4 F 1.98-2.14
Li 0.5016 0.7571 0.1342  4 F 1.98-2.14

=====

<R>
A relaxed LiVF5 crystal, computed with PBE+U.

Summary:
Magnetic moment, μB per atom: 0.143

Lattice parameters (Å, degrees): 10.2670 5.3010 6.4053 74.64 90.00 90.00
Closest atoms and distances in Å follow each position.
Fractional positions:
F 0.5794 0.6366 0.5312  2 V 1.97-2.07
F 0.4195 0.8295 0.1860  1 V 1.85, 1 Li 1.90
F 0.0819 0.3729 0.5888  2 V 1.98-2.08
F 0.4181 0.3729 0.0888  2 V 1.98-2.08
F 0.1476 0.7337 0.1935  1 V 1.86, 1 Li 1.94
F 0.8197 0.7895 0.6851  1 V 1.87, 2 Li 1.98-2.00
F 0.3197 0.2105 0.8149  1 V 1.87, 2 Li 1.98-2.00
F 0.8524 0.2663 0.8065  1 V 1.86, 1 Li 1.94
F 0.1803 0.2105 0.3149  1 V 1.87, 2 Li 1.98-2.00
F 0.6476 0.2663 0.3065  1 V 1.86, 1 Li 1.94
F 0.4206 0.3634 0.4688  2 V 1.97-2.07
F 0.5805 0.1705 0.8140  1 V 1.85, 1 Li 1.90
F 0.6803 0.7895 0.1851  1 V 1.87, 2 Li 1.98-2.00
F 0.9206 0.6366 0.0312  2 V 1.97-2.07
F 0.0805 0.8295 0.6860  1 V 1.85, 1 Li 1.90
F 0.0794 0.3634 0.9688  2 V 1.97-2.07
F 0.3524 0.7337 0.6935  1 V 1.86, 1 Li 1.94
F 0.5819 0.6271 0.9112  2 V 1.98-2.08
F 0.9181 0.6271 0.4112  2 V 1.98-2.08
F 0.9195 0.1705 0.3140  1 V 1.85, 1 Li 1.90
Li 0.2648 0.0303 0.1171  4 F 1.90-2.00
Li 0.7648 0.9697 0.3829  4 F 1.90-2.00
Li 0.2352 0.0303 0.6171  4 F 1.90-2.00
Li 0.7352 0.9697 0.8829  4 F 1.90-2.00
V 0.9612 0.5578 0.7391  6 F 1.85-2.07
V 0.4612 0.4422 0.7609  6 F 1.85-2.07
V 0.5388 0.5578 0.2391  6 F 1.85-2.07
V 0.0388 0.4422 0.2609  6 F 1.85-2.07

=====

<S>
A relaxed LiVF5 crystal, computed with PBE+U.

Summary:
Magnetic moment, μB per atom: 0.143

Lattice parameters (Å, degrees): 6.4852 6.4852 4.6918 90.00 90.00 90.00
Closest atoms and distances in Å follow each position.
Fractional positions:
F 0.0639 0.7680 0.2675  1 V 1.85, 1 Li 1.90
F 0.7680 0.9361 0.7325  1 V 1.85, 1 Li 1.90
F 0.5000 0.0000 0.2117  1 V 1.75
F 0.7320 0.5639 0.2675  1 V 1.85, 1 Li 1.90
F 0.2680 0.4361 0.2675  1 V 1.85, 1 Li 1.90
F 0.9361 0.2320 0.2675  1 V 1.85, 1 Li 1.90
F 0.5639 0.2680 0.7325  1 V 1.85, 1 Li 1.90
F 0.2320 0.0639 0.7325  1 V 1.85, 1 Li 1.90
F 0.4361 0.7320 0.7325  1 V 1.85, 1 Li 1.90
F 0.0000 0.5000 0.7883  1 V 1.75
Li 0.5000 0.5000 0.5000  4 F 1.90
Li 0.0000 0.0000 0.5000  4 F 1.90
V 0.0000 0.5000 0.1618  5 F 1.75-1.85
V 0.5000 0.0000 0.8382  5 F 1.75-1.85

=====

Computed stability ranking, most favorable first: <P>, <S>, <R>, <Q>

=====

<P>
A relaxed LiVF5 crystal, computed with PBE+U.

Summary:
Magnetic moment, μB per atom: 0.143

Lattice parameters (Å, degrees): 6.0174 6.0174 11.9275 90.00 90.00 105.38
Closest atoms and distances in Å follow each position.
Fractional positions:
F 0.0268 0.0268 0.3011  1 V 1.75
F 0.6758 0.9690 0.1250  1 V 1.85, 1 Li 1.98
F 0.1826 0.1826 0.0494  1 V 1.89, 2 Li 2.11
F 0.6332 0.3668 0.0000  1 Li 1.99, 2 V 2.05
F 0.3668 0.6332 0.0000  1 Li 1.99, 2 V 2.05
F 0.5268 0.5268 0.1989  1 V 1.75
F 0.1332 0.8668 0.5000  1 Li 1.99, 2 V 2.05
F 0.5310 0.8242 0.6250  1 V 1.85, 1 Li 1.98
F 0.3174 0.3174 0.5494  1 V 1.89, 2 Li 2.11
F 0.8668 0.1332 0.5000  1 Li 1.99, 2 V 2.05
F 0.3242 0.0310 0.8750  1 V 1.85, 1 Li 1.98
F 0.9690 0.6758 0.1250  1 V 1.85, 1 Li 1.98
F 0.0310 0.3242 0.8750  1 V 1.85, 1 Li 1.98
F 0.8174 0.8174 0.9506  1 V 1.89, 2 Li 2.11
F 0.6826 0.6826 0.4506  1 V 1.89, 2 Li 2.11
F 0.9732 0.9732 0.6989  1 V 1.75
F 0.8242 0.5310 0.6250  1 V 1.85, 1 Li 1.98
F 0.4732 0.4732 0.8011  1 V 1.75
F 0.1758 0.4690 0.3750  1 V 1.85, 1 Li 1.98
F 0.4690 0.1758 0.3750  1 V 1.85, 1 Li 1.98
V 0.8269 0.8269 0.5825  4 F 1.75-1.89
V 0.6731 0.6731 0.0825  4 F 1.75-1.89
V 0.1731 0.1731 0.4175  4 F 1.75-1.89
V 0.3269 0.3269 0.9175  4 F 1.75-1.89
Li 0.3406 0.6594 0.5000  5 F 1.98-2.11
Li 0.6594 0.3406 0.5000  5 F 1.98-2.11
Li 0.8406 0.1594 0.0000  5 F 1.98-2.11
Li 0.1594 0.8406 0.0000  5 F 1.98-2.11

=====

<Q>
A relaxed LiVF5 crystal, computed with PBE+U.

Summary:
Magnetic moment, μB per atom: 0.143

Lattice parameters (Å, degrees): 5.3264 5.3264 7.6050 68.67 68.67 76.89
Closest atoms and distances in Å follow each position.
Fractional positions:
V 0.0000 0.0000 0.0000  6 F 1.82-1.96
V 0.0000 0.0000 0.5000  6 F 1.82-1.96
F 0.2737 0.2165 0.8697  1 V 1.82, 1 Li 1.95
F 0.7043 0.2557 0.4585  1 V 1.87, 1 Li 1.92
F 0.7835 0.7263 0.6303  1 V 1.82, 1 Li 1.95
F 0.2557 0.7043 0.9585  1 V 1.87, 1 Li 1.92
F 0.9279 0.0721 0.7500  2 V 1.96
F 0.2165 0.2737 0.3697  1 V 1.82, 1 Li 1.95
F 0.0721 0.9279 0.2500  2 V 1.96
F 0.7263 0.7835 0.1303  1 V 1.82, 1 Li 1.95
F 0.7443 0.2957 0.0415  1 V 1.87, 1 Li 1.92
F 0.2957 0.7443 0.5415  1 V 1.87, 1 Li 1.92
Li 0.4542 0.5458 0.7500  4 F 1.92-1.95
Li 0.5458 0.4542 0.2500  4 F 1.92-1.95

=====

<R>
A relaxed LiVF5 crystal, computed with PBE+U.

Summary:
Magnetic moment, μB per atom: 0.143

Lattice parameters (Å, degrees): 9.2367 4.9937 9.0539 71.92 90.00 90.00
Closest atoms and distances in Å follow each position.
Fractional positions:
F 0.7187 0.7471 0.1954  1 V 1.84, 1 Li 1.94
F 0.2187 0.2529 0.3046  1 V 1.84, 1 Li 1.94
F 0.7327 0.3311 0.0684  1 V 1.81
F 0.0587 0.2665 0.5758  2 V 2.05, 1 Li 2.08
F 0.7813 0.7471 0.6954  1 V 1.84, 1 Li 1.94
F 0.6181 0.2033 0.3310  1 V 1.84, 1 Li 2.05
F 0.4413 0.2665 0.0758  2 V 2.05, 1 Li 2.08
F 0.9419 0.3210 0.2949  1 V 1.82, 1 Li 1.99
F 0.2327 0.6689 0.4316  1 V 1.81
F 0.5581 0.3210 0.7949  1 V 1.82, 1 Li 1.99
F 0.7673 0.3311 0.5684  1 V 1.81
F 0.8819 0.2033 0.8310  1 V 1.84, 1 Li 2.05
F 0.2673 0.6689 0.9316  1 V 1.81
F 0.1181 0.7967 0.1690  1 V 1.84, 1 Li 2.05
F 0.0581 0.6790 0.7051  1 V 1.82, 1 Li 1.99
F 0.3819 0.7967 0.6690  1 V 1.84, 1 Li 2.05
F 0.9413 0.7335 0.4242  2 V 2.05, 1 Li 2.08
F 0.4419 0.6790 0.2051  1 V 1.82, 1 Li 1.99
F 0.5587 0.7335 0.9242  2 V 2.05, 1 Li 2.08
F 0.2813 0.2529 0.8046  1 V 1.84, 1 Li 1.94
Li 0.8034 0.0268 0.2770  5 F 1.94-2.13
Li 0.3034 0.9732 0.2230  5 F 1.94-2.13
Li 0.6966 0.0268 0.7770  5 F 1.94-2.13
Li 0.1966 0.9732 0.7230  5 F 1.94-2.13
V 0.9071 0.4962 0.6505  4 F 1.81-1.84
V 0.4071 0.5038 0.8495  4 F 1.81-1.84
V 0.5929 0.4962 0.1505  4 F 1.81-1.84
V 0.0929 0.5038 0.3495  4 F 1.81-1.84

=====

Computed stability ranking, most favorable first: <Q>, <R>, <P>